{
  "formula": "Ac2AgBiO5",
  "functional": "PBE",
  "state": "relaxed",
  "lattice_angstrom": [[6.6002, 0.0000, 0.0000], [0.0000, 7.2065, 0.0000], [0.0000, 0.0000, 7.2065]],
  "species": ["O", "Ac", "O", "O", "Ag", "O", "O", "O", "O", "Ac", "Ag", "Bi", "Ac", "Ac", "O", "Bi", "O", "O"],
  "fractional_positions": [[0.7386, 0.6424, 0.8576], [0.5000, 0.6777, 0.1777], [0.7386, 0.8576, 0.3576], [0.2614, 0.3576, 0.1424], [0.0000, 0.5000, 0.5000], [0.5000, 0.5000, 0.5000], [0.7386, 0.1424, 0.6424], [0.2614, 0.6424, 0.8576], [0.2614, 0.8576, 0.3576], [0.5000, 0.8223, 0.6777], [0.0000, 0.0000, 0.0000], [0.0000, 0.0000, 0.5000], [0.5000, 0.3223, 0.8223], [0.5000, 0.1777, 0.3223], [0.2614, 0.1424, 0.6424], [0.0000, 0.5000, 0.0000], [0.7386, 0.3576, 0.1424], [0.5000, 0.0000, 0.0000]],
  "e_tot_ha_per_atom": -0.2306,
  "mass_density_g_cm3": 8.24,
  "sg": "P4/mbm",
  "formation_energy_uncorrected_kj_per_mol_fu": -1614.3
}

---

{
  "formula": "Pr4TlSe2",
  "functional": "PBE",
  "state": "relaxed",
  "lattice_angstrom": [[4.2452, 0.0000, 0.0000], [-2.1226, 7.0446, 0.0000], [0.0000, 0.0000, 14.6241]],
  "species": ["Se", "Pr", "Se", "Pr", "Pr", "Pr", "Se", "Pr", "Se", "Tl", "Pr", "Tl", "Pr", "Pr"],
  "fractional_positions": [[0.8638, 0.7276, 0.5604], [0.7709, 0.5418, 0.3802], [0.1362, 0.2724, 0.0604], [0.9338, 0.8676, 0.7500], [0.2291, 0.4582, 0.8802], [0.2291, 0.4582, 0.6198], [0.8638, 0.7276, 0.9396], [0.0662, 0.1324, 0.2500], [0.1362, 0.2724, 0.4396], [0.3941, 0.7882, 0.2500], [0.7709, 0.5418, 0.1198], [0.6059, 0.2118, 0.7500], [0.5000, 0.0000, 0.5000], [0.5000, 0.0000, 0.0000]],
  "e_tot_ha_per_atom": -0.1922,
  "mass_density_g_cm3": 7.03,
  "sg": "Cmcm",
  "formation_energy_uncorrected_kj_per_mol_fu": -787.6
}

---

{
  "formula": "LaPr4S4",
  "functional": "PBE",
  "state": "relaxed",
  "lattice_angstrom": [[5.3806, 0.0000, 2.1571], [2.6431, 6.4778, 1.1964], [0.2797, -0.1241, 7.0913]],
  "species": ["S", "Pr", "Pr", "La", "Pr", "Pr", "S", "S", "S"],
  "fractional_positions": [[0.1002, 0.5979, 0.2018], [0.8053, 0.7987, 0.5908], [0.3961, 0.4090, 0.7989], [0.0000, 0.0000, 0.0000], [0.1947, 0.2013, 0.4092], [0.6039, 0.5910, 0.2011], [0.8998, 0.4021, 0.7982], [0.6982, 0.2018, 0.4018], [0.3018, 0.7982, 0.5982]],
  "e_tot_ha_per_atom": -0.2315,
  "mass_density_g_cm3": 5.67,
  "sg": "I4/m",
  "formation_energy_uncorrected_kj_per_mol_fu": -1557.1
}

---

{
  "formula": "LaZn2Mo",
  "functional": "PBE",
  "state": "relaxed",
  "lattice_angstrom": [[3.0200, -3.7811, -0.3763], [3.1989, -0.9121, 3.5346], [-0.5897, -3.8717, 2.8672]],
  "species": ["Zn", "Mo", "Zn", "La"],
  "fractional_positions": [[0.7500, 0.7500, 0.7500], [0.0000, 0.0000, 0.0000], [0.2500, 0.2500, 0.2500], [0.5000, 0.5000, 0.5000]],
  "e_tot_ha_per_atom": -0.1583,
  "polymorph_energy_ev_per_atom": 0.168,
  "ef_ev_per_atom": 0.27,
  "mass_density_g_cm3": 7.51,
  "sg": "Fm-3m"
}

---

{
  "formula": "Y4CuAg",
  "functional": "PBE",
  "state": "relaxed",
  "lattice_angstrom": [[-0.0414, 1.6568, 3.1462], [2.9627, -1.7237, 0.9467], [6.8982, 9.2358, -4.7731]],
  "species": ["Y", "Cu", "Y", "Ag", "Y", "Y"],
  "fractional_positions": [[0.9999, 0.9999, 0.6366], [0.5000, 0.5000, 0.5000], [0.5000, 0.5000, 0.8484], [0.0000, 0.0000, 0.0000], [0.0001, 0.0001, 0.3634], [0.5000, 0.5000, 0.1516]],
  "e_tot_ha_per_atom": -0.2066,
  "polymorph_energy_ev_per_atom": 0.000,
  "ef_ev_per_atom": -0.15,
  "mass_density_g_cm3": 5.55,
  "sg": "P4/mmm"
}

---

{
  "formula": "HfPRuS2",
  "functional": "PBE",
  "state": "relaxed",
  "lattice_angstrom": [[4.8451, 0.0000, 0.0000], [0.0000, 4.8451, 0.0000], [0.0000, 0.0000, 5.0264]],
  "species": ["P", "S", "Ru", "Hf", "S"],
  "fractional_positions": [[0.0000, 0.0000, 0.5000], [0.0000, 0.5000, 0.0000], [0.5000, 0.5000, 0.5000], [0.0000, 0.0000, 0.0000], [0.5000, 0.0000, 0.0000]],
  "e_tot_ha_per_atom": -0.2235,
  "polymorph_energy_ev_per_atom": 0.207,
  "mass_density_g_cm3": 5.27,
  "sg": "P4/mmm",
  "formation_energy_uncorrected_kj_per_mol_fu": 240.0
}

---

{
  "formula": "SrTaIr",
  "functional": "PBE",
  "state": "relaxed",
  "lattice_angstrom": [[-1.8353, 3.8156, 0.5734], [0.0617, -2.8420, 3.1899], [4.4878, 1.9153, 1.6197]],
  "species": ["Sr", "Ta", "Ir"],
  "fractional_positions": [[0.6667, 0.3333, 0.3452], [0.3333, 0.6667, 0.8543], [0.0000, 0.0000, 0.8005]],
  "e_tot_ha_per_atom": -0.2717,
  "polymorph_energy_ev_per_atom": 0.451,
  "ef_ev_per_atom": 0.07,
  "mass_density_g_cm3": 9.41,
  "sg": "P3m1"
}

---

{
  "formula": "Zr12PaIn3",
  "functional": "PBE",
  "state": "relaxed",
  "lattice_angstrom": [[4.4387, 0.0000, 0.0000], [0.0000, 4.4387, 0.0000], [0.0000, 0.0000, 18.4417]],
  "species": ["Zr", "In", "Zr", "Zr", "In", "Zr", "Pa", "Zr", "Zr", "Zr", "Zr", "Zr", "In", "Zr", "Zr", "Zr"],
  "fractional_positions": [[0.5000, 0.0000, 0.8699], [0.0000, 0.0000, 0.7457], [0.5000, 0.0000, 0.1301], [0.5000, 0.5000, 0.5000], [0.0000, 0.0000, 0.5000], [0.5000, 0.0000, 0.3783], [0.0000, 0.0000, 0.0000], [0.5000, 0.0000, 0.6217], [0.5000, 0.5000, 0.0000], [0.5000, 0.5000, 0.2538], [0.0000, 0.5000, 0.8699], [0.5000, 0.5000, 0.7462], [0.0000, 0.0000, 0.2543], [0.0000, 0.5000, 0.1301], [0.0000, 0.5000, 0.3783], [0.0000, 0.5000, 0.6217]],
  "e_tot_ha_per_atom": -0.2821,
  "ef_ev_per_atom": -0.16,
  "mass_density_g_cm3": 7.63,
  "sg": "P4/mmm"
}

---

{
  "formula": "Mg2Si3Pt2",
  "functional": "PBE",
  "state": "relaxed",
  "lattice_angstrom": [[-2.9038, -2.3397, 1.4980], [4.6252, -1.0308, 1.9653], [-2.7791, 5.2510, 2.8144]],
  "species": ["Pt", "Si", "Si", "Pt", "Mg", "Si", "Mg"],
  "fractional_positions": [[0.1360, 0.2720, 0.2319], [0.6100, 0.2200, 0.4508], [0.3900, 0.7800, 0.5492], [0.8640, 0.7280, 0.7681], [0.1638, 0.3275, 0.8064], [0.5000, 0.0000, 0.0000], [0.8362, 0.6725, 0.1936]],
  "e_tot_ha_per_atom": -0.1854,
  "mass_density_g_cm3": 7.64,
  "sg": "C2/m",
  "formation_energy_uncorrected_kj_per_mol_fu": -364.0
}

---

{
  "formula": "AcPm2In3Te6",
  "functional": "PBE",
  "state": "relaxed",
  "lattice_angstrom": [[-0.7791, 5.5660, 5.6343], [-2.2525, -7.4887, 1.4758], [8.4565, -1.0654, 0.3483]],
  "species": ["Te", "In", "Ac", "Te", "Te", "Te", "In", "Pm", "Pm", "Te", "Te", "In"],
  "fractional_positions": [[0.4230, 0.0765, 0.2289], [0.5000, 0.5000, 0.5000], [0.0000, 0.0000, 0.0000], [0.7283, 0.7283, 0.2253], [0.5770, 0.9235, 0.7711], [0.9235, 0.5770, 0.7711], [0.1642, 0.8358, 0.5000], [0.3330, 0.6670, 0.0000], [0.6670, 0.3330, 0.0000], [0.0765, 0.4230, 0.2289], [0.2717, 0.2717, 0.7747], [0.8358, 0.1642, 0.5000]],
  "e_tot_ha_per_atom": -0.1616,
  "mass_density_g_cm3": 6.07,
  "sg": "C2/m",
  "formation_energy_uncorrected_kj_per_mol_fu": -1167.0
}

---

{
  "formula": "Pr15Ho4Mg",
  "functional": "PBE",
  "state": "relaxed",
  "lattice_angstrom": [[5.1620, 0.0000, 0.0000], [0.0000, 5.1620, 0.0000], [0.0000, 0.0000, 25.8826]],
  "species": ["Pr", "Pr", "Pr", "Ho", "Pr", "Ho", "Pr", "Ho", "Pr", "Pr", "Pr", "Ho", "Pr", "Pr", "Pr", "Mg", "Pr", "Pr", "Pr", "Pr"],
  "fractional_positions": [[0.5000, 0.0000, 0.2989], [0.5000, 0.0000, 0.0983], [0.5000, 0.5000, 0.6008], [0.0000, 0.0000, 0.3995], [0.5000, 0.5000, 0.8023], [0.0000, 0.0000, 0.8019], [0.5000, 0.5000, 0.0000], [0.0000, 0.0000, 0.1981], [0.5000, 0.5000, 0.1977], [0.0000, 0.5000, 0.5000], [0.0000, 0.5000, 0.2989], [0.0000, 0.0000, 0.6005], [0.5000, 0.0000, 0.5000], [0.5000, 0.5000, 0.3992], [0.5000, 0.0000, 0.7011], [0.0000, 0.0000, 0.0000], [0.0000, 0.5000, 0.9017], [0.0000, 0.5000, 0.0983], [0.5000, 0.0000, 0.9017], [0.0000, 0.5000, 0.7011]],
  "e_tot_ha_per_atom": -0.1681,
  "ef_ev_per_atom": 0.01,
  "mass_density_g_cm3": 6.74,
  "sg": "P4/mmm"
}

---

{
  "formula": "Ca2BeAl",
  "functional": "PBE",
  "state": "relaxed",
  "lattice_angstrom": [[5.1555, 0.0000, 0.0000], [0.0000, 5.0788, 0.9245], [0.0000, 4.4355, 4.4715]],
  "species": ["Al", "Ca", "Ca", "Be"],
  "fractional_positions": [[0.5000, 0.5000, 0.5000], [0.5000, 0.5000, 0.0000], [0.0000, 0.0000, 0.0000], [0.0000, 0.0000, 0.5000]],
  "e_tot_ha_per_atom": -0.1009,
  "polymorph_energy_ev_per_atom": 0.130,
  "ef_ev_per_atom": 0.12,
  "mass_density_g_cm3": 2.01,
  "sg": "P4/mmm"
}

---

{
  "formula": "Ba2SbH",
  "functional": "PBE",
  "state": "relaxed",
  "lattice_angstrom": [[6.6328, 0.0000, 0.0000], [0.0000, 6.6328, 0.0000], [3.3164, 3.3164, 7.6122]],
  "species": ["Ba", "Ba", "Sb", "H", "Ba", "Sb", "Ba", "H"],
  "fractional_positions": [[0.5567, 0.1250, 0.2500], [0.8750, 0.8067, 0.7500], [0.0000, 0.0000, 0.0000], [0.2500, 0.7500, 0.5000], [0.1933, 0.6250, 0.2500], [0.7500, 0.2500, 0.5000], [0.3750, 0.4433, 0.7500], [0.5000, 0.5000, 0.0000]],
  "e_tot_ha_per_atom": -0.1248,
  "polymorph_energy_ev_per_atom": 0.313,
  "mass_density_g_cm3": 3.94,
  "sg": "I-42d"
}

---

{
  "formula": "Pm2HoTh3Se6",
  "functional": "PBE",
  "state": "relaxed",
  "lattice_angstrom": [[-3.4084, 0.5942, 2.2277], [4.0630, -2.7115, 6.9396], [2.9581, 8.8731, -1.6415]],
  "species": ["Se", "Pm", "Se", "Se", "Th", "Pm", "Ho", "Th", "Se", "Th", "Se", "Se"],
  "fractional_positions": [[0.6681, 0.5802, 0.3363], [0.8335, 0.6668, 0.6669], [0.6615, 0.0835, 0.3230], [0.3319, 0.4198, 0.6637], [0.8314, 0.1659, 0.6628], [0.1665, 0.3332, 0.3331], [0.5000, 0.0000, 0.0000], [0.5000, 0.5000, 0.0000], [0.0000, 0.2382, 0.9999], [0.1686, 0.8341, 0.3372], [0.0000, 0.7618, 0.0001], [0.3385, 0.9165, 0.6770]],
  "e_tot_ha_per_atom": -0.2360,
  "mass_density_g_cm3": 8.73,
  "sg": "C2/m",
  "formation_energy_uncorrected_kj_per_mol_fu": -1912.5
}

---

{
  "formula": "Sc2CuPd2",
  "functional": "PBE",
  "state": "relaxed",
  "lattice_angstrom": [[7.6359, 0.0000, 0.0000], [0.0000, 7.6359, 0.0000], [0.0000, 0.0000, 3.1674]],
  "species": ["Pd", "Sc", "Pd", "Pd", "Cu", "Sc", "Sc", "Cu", "Pd", "Sc"],
  "fractional_positions": [[0.3618, 0.1382, 0.5000], [0.1586, 0.3414, 0.0000], [0.6382, 0.8618, 0.5000], [0.8618, 0.3618, 0.5000], [0.0000, 0.0000, 0.0000], [0.3414, 0.8414, 0.0000], [0.6586, 0.1586, 0.0000], [0.5000, 0.5000, 0.0000], [0.1382, 0.6382, 0.5000], [0.8414, 0.6586, 0.0000]],
  "e_tot_ha_per_atom": -0.2155,
  "polymorph_energy_ev_per_atom": 0.185,
  "ef_ev_per_atom": -0.44,
  "mass_density_g_cm3": 6.59,
  "sg": "P4/mbm"
}

---

{
  "formula": "Ca2CdSi",
  "functional": "PBE",
  "state": "relaxed",
  "lattice_angstrom": [[5.2751, 0.0000, 0.0009], [0.0000, 3.6374, 0.0000], [-0.0001, 0.0000, 5.2757]],
  "species": ["Ca", "Cd", "Ca", "Si"],
  "fractional_positions": [[0.2358, 0.5000, 0.7393], [0.2346, 0.0000, 0.2392], [0.7348, 0.5000, 0.2398], [0.7361, 0.0000, 0.7399]],
  "e_tot_ha_per_atom": -0.1069,
  "mass_density_g_cm3": 3.62,
  "sg": "Amm2",
  "formation_energy_uncorrected_kj_per_mol_fu": -124.5
}

---

{
  "formula": "CrReHg",
  "functional": "PBE",
  "state": "relaxed",
  "lattice_angstrom": [[-1.0832, -1.8062, 2.0419], [-1.0084, -0.1241, -2.7518], [4.6680, -4.5039, -1.5076]],
  "species": ["Cr", "Hg", "Re"],
  "fractional_positions": [[0.0000, 0.0000, 0.9652], [0.6667, 0.3333, 0.3235], [0.3333, 0.6667, 0.7113]],
  "e_tot_ha_per_atom": -0.2545,
  "polymorph_energy_ev_per_atom": 0.047,
  "ef_ev_per_atom": 0.53,
  "mass_density_g_cm3": 14.68,
  "sg": "P3m1"
}

---

{
  "formula": "Al2S3F",
  "functional": "PBE",
  "state": "relaxed",
  "lattice_angstrom": [[3.4178, 0.0000, 0.0000], [0.0000, 5.9697, 0.0000], [0.0000, 0.0000, 11.1990]],
  "species": ["S", "S", "Al", "F", "S", "F", "Al", "Al", "Al", "S", "S", "S"],
  "fractional_positions": [[0.5000, 0.1253, 0.1406], [0.5000, 0.2722, 0.6640], [0.5000, 0.0138, 0.5011], [0.0000, 0.1458, 0.9015], [0.0000, 0.7668, 0.5916], [0.0000, 0.6458, 0.0985], [0.5000, 0.5138, 0.4989], [0.0000, 0.3774, 0.8161], [0.0000, 0.8774, 0.1839], [0.5000, 0.6253, 0.8594], [0.5000, 0.7722, 0.3360], [0.0000, 0.2668, 0.4084]],
  "e_tot_ha_per_atom": -0.1757,
  "mass_density_g_cm3": 2.46,
  "sg": "Pmc2_1",
  "formation_energy_uncorrected_kj_per_mol_fu": -669.9
}

---

{
  "formula": "SrMg2Re",
  "functional": "PBE",
  "state": "relaxed",
  "lattice_angstrom": [[-0.7723, -0.3945, 10.8143], [1.6704, -2.1919, 10.4932], [2.0121, 0.8356, 10.6280]],
  "species": ["Mg", "Mg", "Sr", "Re"],
  "fractional_positions": [[0.5127, 0.5127, 0.5127], [0.9873, 0.9873, 0.9873], [0.7500, 0.7500, 0.7500], [0.2500, 0.2500, 0.2500]],
  "e_tot_ha_per_atom": -0.1341,
  "polymorph_energy_ev_per_atom": 0.155,
  "ef_ev_per_atom": 0.68,
  "mass_density_g_cm3": 6.21,
  "sg": "R-3m"
}

---

{
  "formula": "AlAs2RhBr",
  "functional": "PBE",
  "state": "relaxed",
  "lattice_angstrom": [[-2.8727, -2.8627, 2.5722], [3.8331, -1.8411, 2.2319], [-0.3480, 3.4249, 3.4229]],
  "species": ["Br", "Al", "As", "Rh", "As"],
  "fractional_positions": [[0.0000, 0.0000, 0.5000], [0.0000, 0.0000, 0.0000], [0.0000, 0.5000, 0.0000], [0.5000, 0.5000, 0.5000], [0.5000, 0.0000, 0.0000]],
  "e_tot_ha_per_atom": -0.1343,
  "polymorph_energy_ev_per_atom": 0.381,
  "mass_density_g_cm3": 5.33,
  "sg": "P4/mmm",
  "formation_energy_uncorrected_kj_per_mol_fu": 366.2
}